First-principles (GGA-PBE) data for NaPdPbF6 after structural relaxation, as listed in Alexandria.

Values from the calculation:
Magnetic moment in μB per atom: 0.1111
Crystal system: tetragonal
Volume in Å³/atom: 16.597
Formation energy from raw total energies in meV/atom: -1980
E_tot in eV/atom: -4.36
Space group: P4_2nm

Lattice parameters (Å, degrees): 5.2679 5.2679 10.7654 90.00 90.00 90.00
Closest atoms and distances in Å follow each position.
Sites, in units of the cell vectors:
Na  0.0000  0.0000  0.0000  6 F 2.33-2.50
Na  0.5000  0.5000  0.5000  6 F 2.33-2.50
Pd  0.0000  0.0000  0.6676  6 F 1.97-2.14
Pd  0.5000  0.5000  0.1676  6 F 1.97-2.14
Pb  0.0000  0.0000  0.3368  6 F 2.40-2.54
Pb  0.5000  0.5000  0.8368  6 F 2.40-2.54
F  0.1792  0.1792  0.8207  1 Pd 2.12, 1 Na 2.35
F  0.1884  0.1884  0.5179  1 Pd 2.14, 1 Na 2.33
F  0.2349  0.2349  0.1656  1 Pd 1.97
F  0.2651  0.7349  0.6656  1 Pd 1.97
F  0.3116  0.6884  0.0179  1 Pd 2.14, 1 Na 2.33
F  0.3208  0.6792  0.3207  1 Pd 2.12, 1 Na 2.35
F  0.6792  0.3208  0.3207  1 Pd 2.12, 1 Na 2.35
F  0.6884  0.3116  0.0179  1 Pd 2.14, 1 Na 2.33
F  0.7349  0.2651  0.6656  1 Pd 1.97
F  0.7651  0.7651  0.1656  1 Pd 1.97
F  0.8116  0.8116  0.5179  1 Pd 2.14, 1 Na 2.33
F  0.8208  0.8208  0.8207  1 Pd 2.12, 1 Na 2.35